[1]
## Cd2SnHg8 (PBE-GGA)

Data for Cd2SnHg8 after structural relaxation.

Calculated values
Energy relative to the lowest polymorph listed for this composition ... 11 meV per atom
Calculated density ... 11.0 Mg/m³
DOS(E_F) ... 0.24 states/eV per atom
Space group ... P4/mmm (123)
Formation enthalpy at 0 K ... 39 meV per atom

a = 5.2786 Å, b = 5.2786 Å, c = 10.5793 Å
α = 90.00°, β = 90.00°, γ = 90.00°
Fractional positions:
Hg1 0.5000 0.0000 0.8415
Hg2 0.5000 0.5000 0.3202
Hg3 0.5000 0.0000 0.1585
Hg4 0.5000 0.5000 0.6798
Hg5 0.5000 0.0000 0.5000
Hg6 0.0000 0.5000 0.1585
Hg7 0.0000 0.5000 0.8415
Hg8 0.0000 0.5000 0.5000
Cd1 0.0000 0.0000 0.6615
Cd2 0.0000 0.0000 0.3385
Sn1 0.0000 0.0000 0.0000

[2]
## Sm6HgC3 (PBE-GGA)

Data for Sm6HgC3 after structural relaxation.

Calculated values
Calculated density ... 8.1 Mg/m³
DOS(E_F) ... 0.84 states/eV per atom
Space group ... P2_1/m (11)
Formation enthalpy at 0 K ... -137 meV per atom

a = 3.6853 Å, b = 11.1883 Å, c = 11.6561 Å
α = 102.74°, β = 90.00°, γ = 90.00°
Fractional positions:
Sm1 0.7500 0.5281 0.6310
Sm2 0.2500 0.6135 0.9513
Sm3 0.2500 0.3257 0.7560
Sm4 0.7500 0.8084 0.8002
Sm5 0.7500 0.2179 0.4842
Sm6 0.7500 0.3865 0.0487
Sm7 0.2500 0.4719 0.3690
Sm8 0.2500 0.7821 0.5158
Sm9 0.7500 0.9269 0.0951
Sm10 0.7500 0.6743 0.2440
Sm11 0.2500 0.1916 0.1998
Sm12 0.2500 0.0731 0.9049
C1 0.7500 0.6308 0.4452
C2 0.7500 0.4695 0.8539
C3 0.2500 0.8557 0.9452
C4 0.2500 0.3692 0.5548
C5 0.7500 0.1443 0.0548
C6 0.2500 0.5305 0.1461
Hg1 0.7500 0.0346 0.6600
Hg2 0.2500 0.9654 0.3400

[3]
## H2Ru2Pt (PBE-GGA)

Data for H2Ru2Pt after structural relaxation.

Calculated values
Energy relative to the lowest polymorph listed for this composition ... 240 meV per atom
Calculated density ... 13.1 Mg/m³
DOS(E_F) ... 0.87 states/eV per atom
Space group ... P4/mbm (127)

a = 6.0213 Å, b = 6.0213 Å, c = 2.7900 Å
α = 90.00°, β = 90.00°, γ = 90.00°
Fractional positions:
H1 0.3924 0.8924 0.0000
H2 0.1076 0.3924 0.0000
H3 0.8924 0.6076 0.0000
H4 0.6076 0.1076 0.0000
Ru1 0.6454 0.8546 0.5000
Ru2 0.1454 0.6454 0.5000
Ru3 0.8546 0.3546 0.5000
Ru4 0.3546 0.1454 0.5000
Pt1 0.5000 0.5000 0.0000
Pt2 0.0000 0.0000 0.0000

[4]
## Be2TeCl (PBE-GGA)

Data for Be2TeCl after structural relaxation.

Calculated values
Energy relative to the lowest polymorph listed for this composition ... 95 meV per atom
Calculated density ... 3.8 Mg/m³
DOS(E_F) ... 0.06 states/eV per atom
Space group ... Cm (8)

a = 5.8207 Å, b = 5.8207 Å, c = 4.0406 Å
α = 85.48°, β = 85.48°, γ = 35.73°
Fractional positions:
Be1 0.2608 0.2608 0.3403
Be2 0.0902 0.0902 0.1098
Cl1 0.4445 0.4445 0.2614
Te1 0.7045 0.7045 0.7885

[5]
## Rb3Pr3HfSe8 (PBE-GGA)

Data for Rb3Pr3HfSe8 after structural relaxation.

Calculated values
Energy ... -5.32 eV/atom
Calculated density ... 4.8 Mg/m³
DOS(E_F) ... 0.00 states/eV per atom
Space group ... R-3m (166)

a = 8.5471 Å, b = 8.5482 Å, c = 9.5614 Å
α = 116.59°, β = 90.00°, γ = 120.00°
Fractional positions:
Se1 0.7582 0.9737 0.6891
Se2 0.2156 0.4313 0.6891
Se3 0.7844 0.5687 0.3109
Se4 0.2654 0.5309 0.2965
Se5 0.2156 0.9737 0.6891
Se6 0.7346 0.4691 0.7035
Se7 0.2418 0.0263 0.3109
Se8 0.7844 0.0263 0.3109
Rb1 0.0000 0.0000 0.0000
Rb2 0.5000 0.5000 0.0000
Rb3 0.0000 0.5000 0.0000
Pr1 0.5000 0.0000 0.5000
Pr2 0.0000 0.5000 0.5000
Pr3 0.5000 0.5000 0.5000
Hf1 0.0000 0.0000 0.5000

[6]
## Zr3Zn3Pd2 (PBE-GGA)

Data for Zr3Zn3Pd2 after structural relaxation.

Calculated values
Calculated density ... 7.6 Mg/m³
DOS(E_F) ... 1.01 states/eV per atom
Space group ... P-62m (189)
Formation enthalpy at 0 K ... -398 meV per atom

a = 3.5349 Å, b = 6.9862 Å, c = 6.9862 Å
α = 120.00°, β = 90.00°, γ = 90.00°
Fractional positions:
Zn1 0.0000 0.7713 0.7713
Zn2 0.0000 0.2287 0.0000
Zn3 0.0000 0.0000 0.2287
Pd1 0.0000 0.3333 0.6667
Pd2 0.0000 0.6667 0.3333
Zr1 0.5000 0.0000 0.5973
Zr2 0.5000 0.4027 0.4027
Zr3 0.5000 0.5973 0.0000

[7]
## Lu2In (PBE-GGA)

Data for Lu2In after structural relaxation.

Calculated values
Calculated density ... 9.7 Mg/m³
DOS(E_F) ... 0.97 states/eV per atom
Space group ... P6_3/mmc (194)
Formation enthalpy at 0 K ... -333 meV per atom

a = 5.2770 Å, b = 5.2770 Å, c = 6.6026 Å
α = 90.00°, β = 90.00°, γ = 120.00°
Fractional positions:
Lu1 0.0000 0.0000 0.0000
Lu2 0.6667 0.3333 0.2500
Lu3 0.0000 0.0000 0.5000
Lu4 0.3333 0.6667 0.7500
In1 0.6667 0.3333 0.7500
In2 0.3333 0.6667 0.2500

[8]
## CaErZn10 (PBE-GGA)

Data for CaErZn10 after structural relaxation.

Calculated values
Calculated density ... 6.9 Mg/m³
DOS(E_F) ... 0.34 states/eV per atom
Space group ... Pmmm (47)
Formation enthalpy at 0 K ... -241 meV per atom

a = 4.2404 Å, b = 5.3317 Å, c = 9.2078 Å
α = 90.00°, β = 90.00°, γ = 90.00°
Fractional positions:
Zn1 0.5000 0.7554 0.2419
Zn2 0.5000 0.2446 0.7581
Zn3 0.5000 0.2446 0.2419
Zn4 0.0000 0.0000 0.3328
Zn5 0.0000 0.0000 0.6672
Zn6 0.5000 0.5000 0.0000
Zn7 0.0000 0.5000 0.1656
Zn8 0.0000 0.5000 0.8344
Zn9 0.5000 0.7554 0.7581
Zn10 0.5000 0.0000 0.5000
Er1 0.0000 0.0000 0.0000
Ca1 0.0000 0.5000 0.5000

[9]
## MnTc2Ni (PBE-GGA)

Data for MnTc2Ni after structural relaxation.

Calculated values
Energy relative to the lowest polymorph listed for this composition ... 71 meV per atom
Calculated density ... 10.1 Mg/m³
DOS(E_F) ... 1.00 states/eV per atom
Space group ... I4/mmm (139)
Formation enthalpy at 0 K ... 64 meV per atom

a = 4.4942 Å, b = 4.4942 Å, c = 4.4942 Å
α = 130.84°, β = 130.82°, γ = 72.09°
Fractional positions:
Tc1 0.0000 0.0000 0.0000
Tc2 0.5000 0.5000 0.0000
Ni1 0.2500 0.7500 0.5000
Mn1 0.7500 0.2500 0.5000

[10]
## SbH3Pd5 (PBE-GGA)

Data for SbH3Pd5 after structural relaxation.

Calculated values
Energy ... -4.59 eV/atom
Calculated density ... 9.9 Mg/m³
DOS(E_F) ... 0.36 states/eV per atom
Space group ... C2/m (12)

a = 5.8399 Å, b = 5.8399 Å, c = 9.4298 Å
α = 57.50°, β = 57.50°, γ = 60.59°
Fractional positions:
Pd1 0.3978 0.9156 0.3263
Pd2 0.6022 0.0844 0.6737
Pd3 0.2390 0.2390 0.0064
Pd4 0.0844 0.6022 0.6737
Pd5 0.7236 0.2764 0.0000
Pd6 0.2764 0.7236 0.0000
Pd7 0.6088 0.6088 0.6474
Pd8 0.7610 0.7610 0.9936
Pd9 0.3912 0.3912 0.3526
Pd10 0.9156 0.3978 0.3263
H1 0.3817 0.3817 0.7534
H2 0.6183 0.6183 0.2466
H3 0.6983 0.6983 0.8408
H4 0.3017 0.3017 0.1592
H5 0.0000 0.0000 0.5000
H6 0.0000 0.0000 0.0000
Sb1 0.0931 0.0931 0.6937
Sb2 0.9069 0.9069 0.3063

[11]
## BaYPd2 (PBE-GGA)

Data for BaYPd2 after structural relaxation.

Calculated values
Energy relative to the lowest polymorph listed for this composition ... 85 meV per atom
Calculated density ... 6.3 Mg/m³
DOS(E_F) ... 0.48 states/eV per atom
Space group ... R-3m (166)
Formation enthalpy at 0 K ... -603 meV per atom

a = 4.7860 Å, b = 4.7860 Å, c = 6.4235 Å
α = 68.13°, β = 68.13°, γ = 60.00°
Fractional positions:
Pd1 0.7900 0.7900 0.6301
Pd2 0.2100 0.2100 0.3699
Ba1 0.0000 0.0000 0.0000
Y1 0.5000 0.5000 0.5000

[12]
## Cs2PuPbSe4 (PBE-GGA)

Data for Cs2PuPbSe4 after structural relaxation.

Calculated values
Energy ... -5.32 eV/atom
Calculated density ... 6.1 Mg/m³
DOS(E_F) ... 1.31 states/eV per atom
Space group ... P2/m (10)

a = 4.4128 Å, b = 8.6396 Å, c = 7.7051 Å
α = 73.19°, β = 90.00°, γ = 90.00°
Site moments in Bohr magnetons follow the coordinates.
Fractional positions:
Pu1 0.0000 0.5000 0.5000  4.76
Se1 0.0000 0.6890 0.7442  -0.12
Se2 0.5000 0.3166 0.7082  -0.13
Se3 0.0000 0.3110 0.2558  -0.12
Se4 0.5000 0.6834 0.2918  -0.13
Pb1 0.5000 0.5000 0.0000  -0.02
Cs1 0.5000 0.0000 0.5000  -0.01
Cs2 0.0000 0.0000 0.0000  -0.01

[13]
## PrVIr (PBE-GGA)

Data for PrVIr after structural relaxation.

Calculated values
Energy relative to the lowest polymorph listed for this composition ... 0 meV per atom
Calculated density ... 10.2 Mg/m³
DOS(E_F) ... 1.07 states/eV per atom
Space group ... Cmcm (63)
Formation enthalpy at 0 K ... -326 meV per atom

a = 4.1352 Å, b = 6.0200 Å, c = 5.3674 Å
α = 90.00°, β = 90.00°, γ = 110.09°
Fractional positions:
Ir1 0.5580 0.1159 0.7500
Ir2 0.4420 0.8841 0.2500
Pr1 0.7103 0.4205 0.2500
Pr2 0.2897 0.5795 0.7500
V1 0.0000 0.0000 0.0000
V2 0.0000 0.0000 0.5000

[14]
## Si2Hg2Pb (PBE-GGA)

Data for Si2Hg2Pb after structural relaxation.

Calculated values
Energy relative to the lowest polymorph listed for this composition ... 0 meV per atom
Calculated density ... 9.4 Mg/m³
DOS(E_F) ... 0.23 states/eV per atom
Space group ... I4/mmm (139)

a = 4.6490 Å, b = 4.6490 Å, c = 6.3438 Å
α = 68.50°, β = 68.50°, γ = 90.00°
Fractional positions:
Hg1 0.2500 0.7500 0.5000
Hg2 0.7500 0.2500 0.5000
Si1 0.3928 0.3928 0.2144
Si2 0.6072 0.6072 0.7856
Pb1 0.0000 0.0000 0.0000

[15]
## ReSn3Cl (PBE-GGA)

Data for ReSn3Cl after structural relaxation.

Calculated values
Energy relative to the lowest polymorph listed for this composition ... 1521 meV per atom
Calculated density ... 6.8 Mg/m³
DOS(E_F) ... 0.79 states/eV per atom
Space group ... Pm-3m (221)

a = 5.2125 Å, b = 5.2125 Å, c = 5.2125 Å
α = 90.00°, β = 90.00°, γ = 90.00°
Site moments in Bohr magnetons follow the coordinates.
Fractional positions:
Re1 0.5000 0.5000 0.5000  3.03
Sn1 0.0000 0.5000 0.0000  -0.07
Sn2 0.5000 0.0000 0.0000  0.00
Sn3 0.0000 0.0000 0.5000  -0.04
Cl1 0.0000 0.0000 0.0000  -0.01

[16]
## Sr2FeAs (PBE-GGA)

Data for Sr2FeAs after structural relaxation.

Calculated values
Calculated density ... 4.4 Mg/m³
DOS(E_F) ... 1.47 states/eV per atom
Space group ... Amm2 (38)
Formation enthalpy at 0 K ... -304 meV per atom

a = 4.2779 Å, b = 4.5171 Å, c = 6.3699 Å
α = 69.24°, β = 90.00°, γ = 90.00°
Site moments in Bohr magnetons follow the coordinates.
Fractional positions:
Sr1 0.0000 0.9826 0.9098  -0.03
Sr2 0.5000 0.2644 0.3463  -0.01
As1 0.0000 0.6802 0.5146  0.04
Fe1 0.5000 0.5728 0.7293  2.73

[17]
## Tb4TlHgO (PBE-GGA)

Data for Tb4TlHgO after structural relaxation.

Calculated values
Energy ... -4.80 eV/atom
Calculated density ... 10.0 Mg/m³
DOS(E_F) ... 0.59 states/eV per atom
Space group ... Cmcm (63)

a = 6.6163 Å, b = 6.6256 Å, c = 8.6861 Å
α = 90.00°, β = 112.39°, γ = 90.00°
Fractional positions:
Tb1 0.0000 0.0000 0.5000
Tb2 0.9200 0.2500 0.8399
Tb3 0.0800 0.7500 0.1601
Tb4 0.0000 0.5000 0.5000
Tb5 0.4292 0.7500 0.8585
Tb6 0.5708 0.2500 0.1415
Tb7 0.5000 0.0000 0.5000
Tb8 0.5000 0.5000 0.5000
O1 0.7549 0.2500 0.5097
O2 0.2451 0.7500 0.4903
Tl1 0.1116 0.2500 0.2233
Tl2 0.8884 0.7500 0.7767
Hg1 0.3833 0.2500 0.7667
Hg2 0.6167 0.7500 0.2333

[18]
## CaTh3Fe (PBE-GGA)

Data for CaTh3Fe after structural relaxation.

Calculated values
Calculated density ... 8.5 Mg/m³
DOS(E_F) ... 1.35 states/eV per atom
Space group ... Pm-3m (221)
Formation enthalpy at 0 K ... 73 meV per atom

a = 5.3670 Å, b = 5.3670 Å, c = 5.3670 Å
α = 90.00°, β = 90.00°, γ = 90.00°
Fractional positions:
Fe1 0.0000 0.0000 0.0000
Ca1 0.5000 0.5000 0.5000
Th1 0.0000 0.5000 0.0000
Th2 0.5000 0.0000 0.0000
Th3 0.0000 0.0000 0.5000

[19]
## BeTc4W (PBE-GGA)

Data for BeTc4W after structural relaxation.

Calculated values
Calculated density ... 10.7 Mg/m³
DOS(E_F) ... 1.06 states/eV per atom
Space group ... F-43m (216)
Formation enthalpy at 0 K ... 410 meV per atom

a = 5.0503 Å, b = 5.0503 Å, c = 5.0503 Å
α = 60.00°, β = 60.00°, γ = 60.00°
Fractional positions:
Tc1 0.1223 0.6259 0.6259
Tc2 0.6259 0.1223 0.6259
Tc3 0.6259 0.6259 0.6259
Tc4 0.6259 0.6259 0.1223
W1 0.2500 0.2500 0.2500
Be1 0.0000 0.0000 0.0000

[20]
## AcLa6Tb2Sm (PBE-GGA)

Data for AcLa6Tb2Sm after structural relaxation.

Calculated values
Calculated density ... 6.9 Mg/m³
DOS(E_F) ... 1.54 states/eV per atom
Space group ... C2/c (15)
Formation enthalpy at 0 K ... 104 meV per atom

a = 10.0703 Å, b = 9.1134 Å, c = 9.1134 Å
α = 117.43°, β = 94.06°, γ = 94.06°
Fractional positions:
Tb1 0.5456 0.1994 0.3008
Tb2 0.0456 0.3008 0.1994
Tb3 0.9544 0.6992 0.8006
Tb4 0.4544 0.8006 0.6992
La1 0.1858 0.5544 0.0089
La2 0.8142 0.4456 0.9911
La3 0.0509 0.1113 0.7493
La4 0.3783 0.5067 0.2973
La5 0.3142 0.9911 0.4456
La6 0.8783 0.2973 0.5067
La7 0.6217 0.4933 0.7027
La8 0.4491 0.2507 0.8887
La9 0.5509 0.7493 0.1113
La10 0.6858 0.0089 0.5544
La11 0.1217 0.7027 0.4933
La12 0.9491 0.8887 0.2507
Ac1 0.2500 0.9753 0.0247
Ac2 0.7500 0.0247 0.9753
Sm1 0.7500 0.5914 0.4086
Sm2 0.2500 0.4086 0.5914

[21]
## Rb2AsOsI6 (PBE-GGA)

Data for Rb2AsOsI6 after structural relaxation.

Calculated values
Energy ... -3.03 eV/atom
Calculated density ... 5.2 Mg/m³
DOS(E_F) ... 1.07 states/eV per atom
Space group ... I4/mmm (139)

a = 8.1287 Å, b = 8.1287 Å, c = 8.1630 Å
α = 60.14°, β = 60.14°, γ = 90.00°
Site moments in Bohr magnetons follow the coordinates.
Fractional positions:
I1 0.2399 0.7601 0.0000  0.03
I2 0.2383 0.2383 0.5234  0.02
I3 0.7617 0.7617 0.4766  0.02
I4 0.2399 0.2399 0.0000  0.03
I5 0.7601 0.2399 0.0000  0.03
I6 0.7601 0.7601 0.0000  0.03
As1 0.5000 0.5000 0.0000  0.13
Rb1 0.7500 0.2500 0.5000  0.00
Rb2 0.2500 0.7500 0.5000  0.00
Os1 0.0000 0.0000 0.0000  1.12

[22]
## Pr4NdY2Sc (PBE-GGA)

Data for Pr4NdY2Sc after structural relaxation.

Calculated values
Calculated density ... 5.8 Mg/m³
DOS(E_F) ... 1.76 states/eV per atom
Space group ... P4/mmm (123)
Formation enthalpy at 0 K ... 100 meV per atom

a = 5.9513 Å, b = 9.6234 Å, c = 5.9476 Å
α = 51.85°, β = 90.00°, γ = 90.00°
Fractional positions:
Pr1 0.0000 0.2573 0.2430
Pr2 0.5000 0.7418 0.2584
Pr3 0.5000 0.2582 0.7416
Pr4 0.0000 0.7427 0.7570
Y1 0.5000 0.0000 0.5000
Y2 0.0000 0.0000 0.0000
Nd1 0.5000 0.5000 0.0000
Sc1 0.0000 0.5000 0.5000

[23]
## Nd6ErIn4 (PBE-GGA)

Data for Nd6ErIn4 after structural relaxation.

Calculated values
Calculated density ... 6.5 Mg/m³
DOS(E_F) ... 1.26 states/eV per atom
Space group ... I-42m (121)
Formation enthalpy at 0 K ... -122 meV per atom

a = 8.2420 Å, b = 8.2420 Å, c = 8.2420 Å
α = 85.64°, β = 122.55°, γ = 122.55°
Fractional positions:
Nd1 0.6213 0.0927 0.0927
Nd2 0.5000 0.0000 0.5000
Nd3 0.0000 0.5286 0.9073
Nd4 0.0000 0.9073 0.5286
Nd5 0.3787 0.4714 0.4714
Nd6 0.5000 0.5000 0.0000
In1 0.6792 0.4059 0.4059
In2 0.0000 0.2733 0.5941
In3 0.3208 0.7267 0.7267
In4 0.0000 0.5941 0.2733
Er1 0.0000 0.0000 0.0000